A relaxed structure of BaCoRh4. Source: Alexandria, functional GGA-PBE.

The space group is F-43m (No. 216) and the conventional cell measures 7.594, 7.594 and 7.594 Å, with angles of 90.00, 90.00 and 90.00 degrees. Symmetry generates all atoms from Ba at (0.000, 0.000, 0.000), Co at (0.250, 0.250, 0.750) and Rh at (0.124, 0.124, 0.376).

The value obtained for the total moment is 4.40 μB/f.u. For the total energy, the calculation gives -143.52 eV for the cell shown.

***

A relaxed structure of Nd11Dy9Tm4. Source: Alexandria, functional GGA-PBE.

The space group is Cmmm (No. 65) and the conventional cell measures 16.995, 25.776 and 3.649 Å, with angles of 90.00, 90.00 and 90.00 degrees. Symmetry generates all atoms from Nd at (0.000, 0.000, 0.000), Nd at (0.000, 0.161, 0.000), Nd at (0.000, 0.369, 0.000), Nd at (0.207, 0.500, 0.000), Nd at (0.224, 0.181, 0.000), Dy at (0.000, 0.500, 0.500), Dy at (0.102, 0.268, 0.500), Dy at (0.141, 0.073, 0.500) and Tm at (0.157, 0.398, 0.500).

The value obtained for the total moment is 0.00 μB/f.u. For the total energy, the calculation gives -220.93 eV for the cell shown.

***

A relaxed structure of Be17Nb2. Source: Alexandria, functional GGA-PBE.

The space group is R-3m (No. 166, hexagonal axes) and the conventional cell measures 7.3744, 7.3744 and 10.7514 Å, with angles of 90.00, 90.00 and 120.00 degrees. Symmetry generates all atoms from Be at (0.0000, 0.0000, 0.0988), Be at (0.0000, 0.2944, 0.0000), Be at (0.0000, 0.5000, 0.5000), Be at (0.0052, 0.5026, 0.1557) and Nb at (0.0000, 0.0000, 0.3396).

The value obtained for the total moment is 0.00 μB/f.u. For the total energy, the calculation gives -262.58 eV for the cell shown.

***

A relaxed structure of TlCu2Pb2. Source: Alexandria, functional GGA-PBE.

The space group is I4/mmm (No. 139) and the conventional cell measures 4.659, 4.659 and 11.926 Å, with angles of 90.00, 90.00 and 90.00 degrees. Symmetry generates all atoms from Tl at (0.000, 0.000, 0.000), Cu at (0.000, 0.500, 0.250) and Pb at (0.000, 0.000, 0.364).

The value obtained for the total moment is 0.00 μB/f.u. As for the energy above the most stable polymorph in this dataset: 72.7 meV/atom.